1.
Ca2BeBr: optimized geometry, GGA-PBE.

a = 3.749 Å, b = 3.597 Å, c = 8.261 Å
α = 90.00°, β = 90.10°, γ = 90.00°
Fractional positions:
Ca 0.000 0.000 0.209
Ca 0.000 0.000 0.791
Be 0.500 0.500 0.000
Br 0.000 0.500 0.500

spin magnetization = 0.39 Bohr magnetons per cell
total DFT energy (no corrections) = -11.18 eV per cell
theoretical density = 2.520 Mg/m³

2.
In3Re: optimized geometry, GGA-PBE.

a = 10.412 Å, b = 10.412 Å, c = 10.412 Å
α = 17.16°, β = 17.16°, γ = 17.16°
Fractional positions:
In 0.000 0.000 0.000
In 0.239 0.239 0.239
In 0.761 0.761 0.761
Re 0.500 0.500 0.500

spin magnetization = 0.00 Bohr magnetons per cell
formation energy from the elements = 0.48 eV/atom
total DFT energy (no corrections) = -18.74 eV per cell
theoretical density = 10.275 Mg/m³